1.
Density functional theory data (PBE-GGA) for a relaxed structure of Os3Pt.

Space group: P4/mmm (123)
E_form, eV/atom: 0.154
Size of the total moment, μB/cell: 0.00

a = 2.730 Å, b = 2.730 Å, c = 7.854 Å
α = 90.00°, β = 90.00°, γ = 90.00°
Element x y z (fractional)
1 Os 0.000 0.000 0.991
2 Os 0.000 0.000 0.509
3 Os 0.500 0.500 0.750
4 Pt 0.500 0.500 0.250

2.
Density functional theory data (PBE-GGA) for a relaxed structure of Rb2PuH4.

VASP energy, Ha/atom: -0.1586
Space group: I4/mmm (139)
Size of the total moment, μB/cell: 6.00

a = 4.502 Å, b = 4.502 Å, c = 8.187 Å
α = 105.96°, β = 105.96°, γ = 90.00°
Element x y z (fractional)
1 H 0.846 0.846 0.691
2 H 0.154 0.154 0.309
3 H 0.000 0.500 0.000
4 H 0.500 0.000 0.000
5 Rb 0.654 0.654 0.308
6 Rb 0.346 0.346 0.692
7 Pu 0.000 0.000 0.000

Question: What is the formula in the second record?
Answer: Rb2PuH4